Computed, not measured: a relaxed ZrBeCr2 crystal at the PBE-GGA level of DFT.

The structure belongs to space group C2/m (No. 12); the cell edges are 8.394, 2.999 and 4.502 Å and the angles 90.00°, 102.94° and 90.00°. The asymmetric unit holds Zr at (0.000, 0.000, 0.000), Be at (0.000, 0.500, 0.500) and Cr at (0.229, 0.000, 0.676).

The total DFT energy (no corrections) comes out at -61.18 eV per cell. As for the formation energy: 0.23 eV/atom. The value obtained for the density is 6.14 g cm⁻³.

***

Computed, not measured: a relaxed SmHoPt2 crystal at the PBE-GGA level of DFT.

The structure belongs to space group R3m (No. 160, hexagonal axes); the cell edges are 4.0515, 4.0515 and 20.8248 Å and the angles 90.00°, 90.00° and 120.00°. The asymmetric unit holds Sm at (0.0000, 0.0000, 0.0000), Ho at (0.0000, 0.0000, 0.8279), Pt at (0.0000, 0.0000, 0.2454) and Pt at (0.0000, 0.0000, 0.4158).

The total DFT energy (no corrections) comes out at -76.85 eV per cell. As for the energy relative to the lowest polymorph listed for this composition: 182 meV/atom. As for the formation energy: -1.06 eV/atom. The value obtained for the density is 11.87 g cm⁻³.

***

Computed, not measured: a relaxed Tb6As2PdSe3 crystal at the PBE-GGA level of DFT.

The structure belongs to space group C2/m (No. 12); the cell edges are 18.020, 4.092 and 8.292 Å and the angles 90.00°, 103.64° and 90.00°. The asymmetric unit holds Tb at (0.001, 0.000, 0.243), Tb at (0.166, 0.500, 0.089), Tb at (0.170, 0.500, 0.577), As at (0.166, 0.000, 0.333), Pd at (0.000, 0.500, 0.000), Se at (0.000, 0.500, 0.500) and Se at (0.169, 0.000, 0.833).

The total DFT energy (no corrections) comes out at -142.83 eV per cell. The value obtained for the density is 8.09 g cm⁻³.

***

Computed, not measured: a relaxed Sr2MgUS6 crystal at the PBE-GGA level of DFT.

The structure belongs to space group P2_1/c (No. 14); the cell edges are 6.834, 7.249 and 11.895 Å and the angles 90.00°, 124.16° and 90.00°. The asymmetric unit holds Sr at (0.221, 0.078, 0.246), Mg at (0.000, 0.000, 0.500), U at (0.500, 0.000, 0.000), S at (0.148, 0.194, 0.951), S at (0.260, 0.702, 0.949) and S at (0.349, 0.023, 0.750).

The total DFT energy (no corrections) comes out at -114.26 eV per cell. The value obtained for the density is 4.29 g cm⁻³.

***

Computed, not measured: a relaxed Hg3SbBr crystal at the PBE-GGA level of DFT.

The structure belongs to space group R3c (No. 161, hexagonal axes); the cell edges are 7.7635, 7.7635 and 19.9808 Å and the angles 90.00°, 90.00° and 120.00°. The asymmetric unit holds Hg at (0.0001, 0.3984, 0.0000), Sb at (0.0000, 0.0000, 0.2500) and Br at (0.0000, 0.0000, 0.4994).

The total DFT energy (no corrections) comes out at -43.84 eV per cell. As for the energy relative to the lowest polymorph listed for this composition: 0 meV/atom. The value obtained for the density is 7.68 g cm⁻³.

***

Computed, not measured: a relaxed Ca4ScAl crystal at the PBE-GGA level of DFT.

The structure belongs to space group F-43m (No. 216); the cell edges are 9.329, 9.329 and 9.329 Å and the angles 90.00°, 90.00° and 90.00°. The asymmetric unit holds Ca at (0.125, 0.125, 0.125), Sc at (0.250, 0.250, 0.750) and Al at (0.000, 0.000, 0.500).

The total DFT energy (no corrections) comes out at -60.53 eV per cell. As for the formation energy: 0.49 eV/atom. The value obtained for the density is 1.90 g cm⁻³.

***

Computed, not measured: a relaxed Ba2MnBr crystal at the PBE-GGA level of DFT.

The structure belongs to space group R3m (No. 160, hexagonal axes); the cell edges are 4.9809, 4.9809 and 24.3865 Å and the angles 90.00°, 90.00° and 120.00°. The asymmetric unit holds Ba at (0.0000, 0.0000, 0.0000), Ba at (0.0000, 0.0000, 0.1826), Mn at (0.0000, 0.0000, 0.4198) and Br at (0.0000, 0.0000, 0.7718).

The total DFT energy (no corrections) comes out at -44.59 eV per cell. As for the energy relative to the lowest polymorph listed for this composition: 367 meV/atom. The value obtained for the density is 3.89 g cm⁻³.

***

Computed, not measured: a relaxed Er3GeBi crystal at the PBE-GGA level of DFT.

The structure belongs to space group C2/c (No. 15); the cell edges are 13.758, 7.695 and 12.179 Å and the angles 90.00°, 111.54° and 90.00°. The asymmetric unit holds Er at (0.065, 0.248, 0.053), Er at (0.140, 0.439, 0.797), Er at (0.177, 0.063, 0.373), Ge at (0.000, 0.277, 0.250), Ge at (0.250, 0.250, 0.000) and Bi at (0.153, 0.143, 0.625).

The total DFT energy (no corrections) comes out at -197.97 eV per cell. As for the formation energy: -0.51 eV/atom. The value obtained for the density is 8.68 g cm⁻³.

***

Computed, not measured: a relaxed Ni3HPt crystal at the PBE-GGA level of DFT.

The structure belongs to space group Pm-3m (No. 221); the cell edges are 3.693, 3.693 and 3.693 Å and the angles 90.00°, 90.00° and 90.00°. The asymmetric unit holds Ni at (0.000, 0.000, 0.500), H at (0.000, 0.000, 0.000) and Pt at (0.500, 0.500, 0.500).

The total DFT energy (no corrections) comes out at -27.00 eV per cell. As for the energy relative to the lowest polymorph listed for this composition: 0 meV/atom. The value obtained for the density is 12.27 g cm⁻³.

***

Computed, not measured: a relaxed PbSe2NCl crystal at the PBE-GGA level of DFT.

The structure belongs to space group P4/mmm (No. 123); the cell edges are 5.704, 5.704 and 4.522 Å and the angles 90.00°, 90.00° and 90.00°. The asymmetric unit holds Pb at (0.000, 0.000, 0.000), Se at (0.000, 0.500, 0.000), N at (0.000, 0.000, 0.500) and Cl at (0.500, 0.500, 0.500).

The total DFT energy (no corrections) comes out at -14.91 eV per cell. As for the energy relative to the lowest polymorph listed for this composition: 0 meV/atom. The value obtained for the density is 4.68 g cm⁻³.

***

Computed, not measured: a relaxed Er6PaSe8 crystal at the PBE-GGA level of DFT.

The structure belongs to space group Fm-3m (No. 225); the cell edges are 11.384, 11.384 and 11.384 Å and the angles 90.00°, 90.00° and 90.00°. The asymmetric unit holds Er at (0.000, 0.250, 0.250), Pa at (0.000, 0.000, 0.000), Se at (0.000, 0.000, 0.258) and Se at (0.250, 0.250, 0.250).

The total DFT energy (no corrections) comes out at -359.31 eV per cell. The value obtained for the density is 8.40 g cm⁻³.

***

Computed, not measured: a relaxed Ca2OsPt crystal at the PBE-GGA level of DFT.

The structure belongs to space group Imm2 (No. 44); the cell edges are 2.943, 5.059 and 11.497 Å and the angles 90.00°, 90.00° and 90.00°. The asymmetric unit holds Ca at (0.000, 0.000, 0.000), Ca at (0.000, 0.500, 0.190), Os at (0.000, 0.500, 0.750) and Pt at (0.000, 0.000, 0.440).

The total DFT energy (no corrections) comes out at -42.65 eV per cell. As for the energy relative to the lowest polymorph listed for this composition: 59 meV/atom. As for the formation energy: -0.01 eV/atom. The value obtained for the density is 9.03 g cm⁻³.